[1]
SmErTl | PBE | relaxed

Unit cell a=5.2185 b=5.2185 c=5.2185 alpha=60.00 beta=60.00 gamma=60.00
Closest atoms and distances in Å follow each position.
Atoms (fractional coordinates):
Er: 0.0000 0.0000 0.0000  4 Tl 3.20
Sm: 0.5000 0.5000 0.5000  4 Tl 3.20
Tl: 0.2500 0.2500 0.2500  4 Er 3.20, 4 Sm 3.20

Summary:
**Offset from the most stable computed form**: 0.68 eV/f.u.
**Energy of formation from the pure elements**: -0.03 eV/atom
**Electronic total energy**: -11.742 eV for the cell shown
**Space-group type**: F-43m (216)
**DOS at the Fermi energy**: 1.6778 states/eV/atom

[2]
TlMo2Os | PBE | relaxed

Unit cell a=2.8591 b=2.8591 c=9.2358 alpha=90.00 beta=90.00 gamma=112.67
Closest atoms and distances in Å follow each position.
Atoms (fractional coordinates):
Tl: 0.5000 0.5000 0.7481  6 Tl 2.86-3.17, 2 Os 2.96, 2 Mo 2.99
Mo: 0.0000 0.0000 0.0226  6 Mo 2.65-2.86
Mo: 0.5000 0.5000 0.2521  2 Os 2.61, 6 Mo 2.65-2.86
Os: 0.0000 0.0000 0.4771  2 Mo 2.61, 4 Os 2.86

Summary:
**Offset from the most stable computed form**: 0.97 eV/f.u.
**Energy of formation from the pure elements**: 0.62 eV/atom
**Electronic total energy**: -32.768 eV for the cell shown
**Space-group type**: Cmm2 (35)
**DOS at the Fermi energy**: 0.7808 states/eV/atom

[3]
Ac2TeAu | PBE | relaxed

Unit cell a=4.5133 b=4.5133 c=8.6993 alpha=74.97 beta=74.97 gamma=60.00
Closest atoms and distances in Å follow each position.
Atoms (fractional coordinates):
Au: 0.6674 0.6674 0.9979  6 Ac 3.19-3.21
Ac: 0.0744 0.0744 0.7769  3 Au 3.19, 3 Te 3.46
Te: 0.4992 0.4992 0.5024  6 Ac 3.46-3.49
Ac: 0.2590 0.2590 0.2229  3 Au 3.21, 3 Te 3.49

Summary:
**Offset from the most stable computed form**: 0.16 eV/f.u.
**Electronic total energy**: -18.970 eV for the cell shown
**Space-group type**: R3m (160)
**ΔE_f (raw)**: -1.08 eV per atom
**DOS at the Fermi energy**: 1.0551 states/eV/atom

[4]
SmH4Pd5 | PBE | relaxed

Unit cell a=4.7989 b=5.8373 c=8.4309 alpha=90.00 beta=90.00 gamma=90.00
Closest atoms and distances in Å follow each position.
Atoms (fractional coordinates):
Pd: 0.7326 0.5000 0.0000  4 H 1.87-1.96
Pd: 0.2540 0.7468 0.1706  2 H 1.77-1.89
Pd: 0.2674 0.0000 0.5000  4 H 1.87-1.96
Pd: 0.2540 0.7468 0.8294  2 H 1.77-1.89
H: 0.4032 0.0000 0.7195  3 Pd 1.89-1.96
Pd: 0.2540 0.2532 0.8294  2 H 1.77-1.89
Pd: 0.7460 0.2468 0.3294  2 H 1.77-1.89
Pd: 0.2540 0.2532 0.1706  2 H 1.77-1.89
H: 0.5968 0.5000 0.2195  3 Pd 1.89-1.96
H: 0.9493 0.8147 0.5000  3 Pd 1.77-1.87
Sm: 0.2721 0.5000 0.5000  2 H 2.40
H: 0.0507 0.3147 0.0000  3 Pd 1.77-1.87
Pd: 0.7460 0.7532 0.3294  2 H 1.77-1.89
H: 0.4032 0.0000 0.2805  3 Pd 1.89-1.96
Sm: 0.7279 0.0000 0.0000  2 H 2.40
H: 0.0507 0.6853 0.0000  3 Pd 1.77-1.87
Pd: 0.7460 0.7532 0.6706  2 H 1.77-1.89
Pd: 0.7460 0.2468 0.6706  2 H 1.77-1.89
H: 0.5968 0.5000 0.7805  3 Pd 1.89-1.96
H: 0.9493 0.1853 0.5000  3 Pd 1.77-1.87

Summary:
**Electronic total energy**: -95.246 eV for the cell shown
**Space-group type**: Pmmn (59)
**DOS at the Fermi energy**: 0.1610 states/eV/atom

[5]
SrPmCd17 | PBE | relaxed

Unit cell a=7.7314 b=7.7314 c=7.7314 alpha=82.35 beta=82.35 gamma=82.35
Closest atoms and distances in Å follow each position.
Atoms (fractional coordinates):
Cd: 0.3492 0.8637 0.3492  9 Cd 2.89-3.21
Cd: 0.1890 0.6297 0.6297  8 Cd 2.89-3.23
Cd: 0.2980 0.0016 0.6990  8 Cd 2.94-3.23
Cd: 0.3492 0.3492 0.8637  9 Cd 2.89-3.21
Cd: 0.0016 0.6990 0.2980  8 Cd 2.94-3.23
Cd: 0.5154 0.9863 0.9863  10 Cd 2.94-3.23
Cd: 0.6990 0.0016 0.2980  8 Cd 2.94-3.23
Cd: 0.1045 0.1045 0.1045  7 Cd 3.00-3.23
Cd: 0.8637 0.3492 0.3492  9 Cd 2.89-3.21
Pm: 0.3295 0.3295 0.3295  13 Cd 3.39-3.57
Cd: 0.6297 0.1890 0.6297  8 Cd 2.89-3.23
Cd: 0.9055 0.9055 0.9055  4 Cd 3.00
Cd: 0.6990 0.2980 0.0016  8 Cd 2.94-3.23
Cd: 0.9863 0.5154 0.9863  10 Cd 2.94-3.23
Cd: 0.0016 0.2980 0.6990  8 Cd 2.94-3.23
Sr: 0.6648 0.6648 0.6648  19 Cd 3.59-4.00
Cd: 0.9863 0.9863 0.5154  10 Cd 2.94-3.23
Cd: 0.6297 0.6297 0.1890  8 Cd 2.89-3.23
Cd: 0.2980 0.6990 0.0016  8 Cd 2.94-3.23

Summary:
**Energy of formation from the pure elements**: -0.16 eV/atom
**Electronic total energy**: -24.956 eV for the cell shown
**Space-group type**: R3m (160)
**DOS at the Fermi energy**: 0.3649 states/eV/atom

[6]
Li2CuBPt | PBE | relaxed

Unit cell a=4.0680 b=3.7921 c=4.0680 alpha=90.00 beta=90.00 gamma=90.00
Closest atoms and distances in Å follow each position.
Atoms (fractional coordinates):
Cu: 0.0000 0.5000 0.0000  2 B 1.90
Pt: 0.5000 0.5000 0.5000  8 Li 2.78, 4 Cu 2.88
Li: 0.5000 0.0000 0.0000  2 B 2.03
Li: 0.0000 0.0000 0.5000  2 B 2.03
B: 0.0000 0.0000 0.0000  2 Cu 1.90, 4 Li 2.03

Summary:
**Energy of formation from the pure elements**: 0.29 eV/atom
**Electronic total energy**: -19.179 eV for the cell shown
**Space-group type**: P4/mmm (123)
**DOS at the Fermi energy**: 0.3593 states/eV/atom

[7]
Th2FePt | PBE | relaxed

Unit cell a=3.8695 b=3.8695 c=8.8903 alpha=77.43 beta=77.43 gamma=60.00
Closest atoms and distances in Å follow each position.
Atoms (fractional coordinates):
Pt: 0.5000 0.5000 0.5000  6 Th 2.91
Fe: 0.0000 0.0000 0.0000  2 Th 2.44
Th: 0.9054 0.9054 0.2838  1 Fe 2.44
Th: 0.0946 0.0946 0.7162  1 Fe 2.44

Summary:
**Energy of formation from the pure elements**: 0.12 eV/atom
**Electronic total energy**: -28.856 eV for the cell shown
**Space-group type**: R-3m (166)
**DOS at the Fermi energy**: 0.9750 states/eV/atom

[8]
Pr5MgAg | PBE | relaxed

Unit cell a=6.1260 b=6.1260 c=12.4314 alpha=100.31 beta=100.31 gamma=87.80
Closest atoms and distances in Å follow each position.
Atoms (fractional coordinates):
Pr: 0.7800 0.5029 0.5640  2 Ag 3.34-3.65, 5 Pr 3.36-3.66, 1 Mg 3.67
Pr: 0.5029 0.7800 0.0640  2 Ag 3.34-3.65, 5 Pr 3.36-3.66, 1 Mg 3.67
Pr: 0.0147 0.9853 0.2500  2 Ag 3.11, 1 Mg 3.29, 2 Pr 3.39
Mg: 0.6274 0.3726 0.2500  7 Pr 3.29-3.67
Pr: 0.0977 0.4507 0.1357  1 Ag 2.99
Mg: 0.3726 0.6274 0.7500  7 Pr 3.29-3.67
Pr: 0.4507 0.0977 0.6357  1 Ag 2.99
Pr: 0.5493 0.9023 0.3643  1 Ag 2.99
Ag: 0.0000 0.0000 0.0000  6 Pr 2.99-3.34
Pr: 0.9853 0.0147 0.7500  2 Ag 3.11, 1 Mg 3.29, 2 Pr 3.39
Ag: 0.0000 0.0000 0.5000  6 Pr 2.99-3.34
Pr: 0.2200 0.4971 0.4360  2 Ag 3.34-3.65, 5 Pr 3.36-3.66, 1 Mg 3.67
Pr: 0.4971 0.2200 0.9360  2 Ag 3.34-3.65, 5 Pr 3.36-3.66, 1 Mg 3.67
Pr: 0.9023 0.5493 0.8643  1 Ag 2.99

Summary:
**Energy of formation from the pure elements**: 0.04 eV/atom
**Electronic total energy**: -56.182 eV for the cell shown
**Space-group type**: C2/c (15)
**DOS at the Fermi energy**: 1.3028 states/eV/atom

[9]
CsHfRh3 | PBE | relaxed

Unit cell a=4.9867 b=4.9867 c=4.9867 alpha=90.00 beta=90.00 gamma=90.00
Closest atoms and distances in Å follow each position.
Atoms (fractional coordinates):
Cs: 0.5000 0.5000 0.5000  12 Rh 3.53
Rh: 0.0000 0.5000 0.0000  2 Hf 2.49
Hf: 0.0000 0.0000 0.0000  6 Rh 2.49
Rh: 0.5000 0.0000 0.0000  2 Hf 2.49
Rh: 0.0000 0.0000 0.5000  2 Hf 2.49

Summary:
**Offset from the most stable computed form**: 0.00 eV/f.u.
**Energy of formation from the pure elements**: 0.65 eV/atom
**Electronic total energy**: -29.602 eV for the cell shown
**Space-group type**: Pm-3m (221)
**DOS at the Fermi energy**: 0.9864 states/eV/atom

[10]
YTaFe10 | PBE | relaxed

Unit cell a=3.9738 b=4.8405 c=8.3713 alpha=90.00 beta=90.00 gamma=90.00
Closest atoms and distances in Å follow each position.
Atoms (fractional coordinates):
Ta: 0.0000 0.5000 0.5000  6 Fe 2.67-2.75
Fe: 0.5000 0.7462 0.7408  8 Fe 2.36-2.48
Fe: 0.5000 0.2538 0.2592  8 Fe 2.36-2.48
Fe: 0.0000 0.0000 0.3438  7 Fe 2.38-2.62
Y: 0.0000 0.0000 0.0000  18 Fe 2.86-3.19
Fe: 0.5000 0.5000 0.0000  8 Fe 2.48-2.50
Fe: 0.0000 0.5000 0.8188  6 Fe 2.41-2.50, 1 Ta 2.67
Fe: 0.5000 0.0000 0.5000  8 Fe 2.36-2.38
Fe: 0.0000 0.5000 0.1812  6 Fe 2.41-2.50, 1 Ta 2.67
Fe: 0.5000 0.2538 0.7408  8 Fe 2.36-2.48
Fe: 0.5000 0.7462 0.2592  8 Fe 2.36-2.48
Fe: 0.0000 0.0000 0.6562  7 Fe 2.38-2.62

Summary:
**Energy of formation from the pure elements**: 0.03 eV/atom
**Electronic total energy**: -102.638 eV for the cell shown
**Space-group type**: Pmmm (47)
**DOS at the Fermi energy**: 1.0630 states/eV/atom

[11]
Ho4Er3Ru4 | PBE | relaxed

Unit cell a=3.4969 b=8.8133 c=9.3968 alpha=117.97 beta=100.72 gamma=90.00
Closest atoms and distances in Å follow each position.
Atoms (fractional coordinates):
Ho: 0.3354 0.1443 0.6708  4 Ru 2.78-2.99
Ru: 0.5000 0.2234 0.0000  2 Ho 2.78, 6 Er 3.00-3.07
Ru: 0.5000 0.7766 0.0000  2 Ho 2.78, 6 Er 3.00-3.07
Ho: 0.6646 0.8557 0.3292  4 Ru 2.78-2.99
Er: 0.0000 0.5000 0.0000  4 Ru 3.00
Ru: 0.2590 0.7590 0.5180  6 Ho 2.87-2.99, 2 Er 2.92
Er: 0.9030 0.9030 0.8060  6 Ru 2.92-3.07, 1 Er 3.15
Ho: 0.3354 0.5265 0.6708  4 Ru 2.78-2.99
Ho: 0.6646 0.4735 0.3292  4 Ru 2.78-2.99
Er: 0.0970 0.0970 0.1940  6 Ru 2.92-3.07, 1 Er 3.15
Ru: 0.7410 0.2410 0.4820  6 Ho 2.87-2.99, 2 Er 2.92

Summary:
**Energy of formation from the pure elements**: -0.35 eV/atom
**Electronic total energy**: -72.904 eV for the cell shown
**Space-group type**: Immm (71)
**DOS at the Fermi energy**: 0.4810 states/eV/atom

[12]
Cu5Pd2Pt | PBE | relaxed

Unit cell a=5.1839 b=5.1838 c=5.1839 alpha=109.46 beta=109.46 gamma=109.49
Closest atoms and distances in Å follow each position.
Atoms (fractional coordinates):
Pt: 0.7783 0.7781 0.0000  8 Cu 2.59
Cu: 0.2777 0.2773 0.0000  8 Cu 2.59
Cu: 0.7779 0.2779 0.0000  4 Pd 2.59, 2 Cu 2.59, 2 Pt 2.59
Cu: 0.2779 0.2782 0.5004  4 Pd 2.59, 2 Cu 2.59, 2 Pt 2.59
Pd: 0.2779 0.7782 0.5001  8 Cu 2.59
Cu: 0.2781 0.7774 0.0000  2 Cu 2.59, 4 Pd 2.59, 2 Pt 2.59
Cu: 0.7775 0.7778 0.4996  4 Pd 2.59, 2 Cu 2.59, 2 Pt 2.59
Pd: 0.7778 0.2781 0.4999  8 Cu 2.59

Summary:
**Offset from the most stable computed form**: 0.11 eV/f.u.
**Energy of formation from the pure elements**: -0.11 eV/atom
**Electronic total energy**: -37.765 eV for the cell shown
**Space-group type**: I4/mmm (139)
**DOS at the Fermi energy**: 0.7982 states/eV/atom